This record from Alexandria via LeMat-Bulk describes a relaxed structure of CsLiPaS4. The functional is PBE-GGA.

a = 6.960 Å, b = 5.431 Å, c = 9.873 Å
α = 90.00°, β = 106.47°, γ = 90.00°
Atoms (fractional coordinates):
1 S 0.512 0.250 0.805
2 S 0.988 0.483 0.323
3 S 0.426 0.750 0.567
4 S 0.012 0.517 0.677
5 S 0.988 0.017 0.323
6 S 0.488 0.750 0.195
7 S 0.012 0.983 0.677
8 S 0.574 0.250 0.433
9 Li 0.745 0.250 0.677
10 Li 0.255 0.750 0.323
11 Cs 0.241 0.250 0.042
12 Cs 0.759 0.750 0.958
13 Pa 0.734 0.750 0.442
14 Pa 0.266 0.250 0.558

Results
symmetry	P2_1/m (11)
ΔE_f (raw)	-1335	meV/atom